No. 1
# Sm6Te3Pt2Au

A relaxed Sm6Te3Pt2Au crystal (PBE, Alexandria).

a = 7.3436 Å, b = 7.3436 Å, c = 7.8887 Å
α = 98.90°, β = 98.90°, γ = 120.00°
Last column: nearest neighbours and their distance in Å.
Fractional coordinates of all 12 atoms:
Sm (0.0792, 0.4264, 0.7799)  2 Pt 2.91, 1 Au 3.04, 1 Te 3.19
Sm (0.2246, 0.2246, 0.2160)  2 Pt 2.90, 1 Au 3.02, 3 Te 3.17-3.25
Sm (0.4264, 0.0792, 0.7799)  2 Pt 2.91, 1 Au 3.04, 1 Te 3.19
Sm (0.5736, 0.9208, 0.2201)  2 Pt 2.91, 1 Au 3.04, 1 Te 3.19
Sm (0.7754, 0.7754, 0.7840)  2 Pt 2.90, 1 Au 3.02, 3 Te 3.17-3.25
Sm (0.9208, 0.5736, 0.2201)  2 Pt 2.91, 1 Au 3.04, 1 Te 3.19
Te (0.0000, 0.0000, 0.5000)  6 Sm 3.17-3.26
Te (0.3378, 0.6622, 0.5000)  6 Sm 3.19-3.27
Te (0.6622, 0.3378, 0.5000)  6 Sm 3.19-3.27
Pt (0.1676, 0.8324, 0.0000)  6 Sm 2.90-2.91
Pt (0.8324, 0.1676, 0.0000)  6 Sm 2.90-2.91
Au (0.5000, 0.5000, 0.0000)  6 Sm 3.02-3.04

Values from the calculation:
Symmetry: C2/m (12)
Energy relative to the elements, uncorrected (eV per atom): -1.20
Crystal system: monoclinic

=====

No. 2
# Sm8Te4Pt3Au

A relaxed Sm8Te4Pt3Au crystal (PBE, Alexandria).

a = 8.9571 Å, b = 8.9571 Å, c = 8.9571 Å
α = 56.31°, β = 56.31°, γ = 56.31°
Last column: nearest neighbours and their distance in Å.
Fractional coordinates of all 16 atoms:
Sm (0.2313, 0.7439, 0.7439)  2 Pt 2.92, 1 Au 2.99, 3 Te 3.18-3.25
Sm (0.2382, 0.2382, 0.2382)  3 Pt 2.92, 3 Te 3.25
Sm (0.2561, 0.2561, 0.7687)  2 Pt 2.92, 1 Au 2.99, 3 Te 3.18-3.25
Sm (0.2561, 0.7687, 0.2561)  2 Pt 2.92, 1 Au 2.99, 3 Te 3.18-3.25
Sm (0.7439, 0.2313, 0.7439)  2 Pt 2.92, 1 Au 2.99, 3 Te 3.18-3.25
Sm (0.7439, 0.7439, 0.2313)  2 Pt 2.92, 1 Au 2.99, 3 Te 3.18-3.25
Sm (0.7618, 0.7618, 0.7618)  3 Pt 2.92, 3 Te 3.25
Sm (0.7687, 0.2561, 0.2561)  2 Pt 2.92, 1 Au 2.99, 3 Te 3.18-3.25
Te (0.0000, 0.0000, 0.0000)  6 Sm 3.18
Te (0.0000, 0.5000, 0.5000)  6 Sm 3.25
Te (0.5000, 0.0000, 0.5000)  6 Sm 3.25
Te (0.5000, 0.5000, 0.0000)  6 Sm 3.25
Pt (0.0000, 0.0000, 0.5000)  6 Sm 2.92
Pt (0.0000, 0.5000, 0.0000)  6 Sm 2.92
Pt (0.5000, 0.0000, 0.0000)  6 Sm 2.92
Au (0.5000, 0.5000, 0.5000)  6 Sm 2.99

Values from the calculation:
Symmetry: R-3m (166)
Energy relative to the elements, uncorrected (eV per atom): -1.21
Crystal system: trigonal

=====

No. 3
# SmThPtAu

A relaxed SmThPtAu crystal (PBE, Alexandria).

a = 4.4805 Å, b = 6.0591 Å, c = 6.0591 Å
α = 37.68°, β = 90.00°, γ = 90.00°
Last column: nearest neighbours and their distance in Å.
Fractional coordinates of all 4 atoms:
Sm (0.0000, 0.0000, 0.0000)  1 Pt 2.98, 4 Au 3.04
Th (0.5000, 0.2744, 0.2744)  4 Pt 3.00, 3 Au 3.19-3.21
Pt (0.0000, 0.7397, 0.7397)  1 Sm 2.98, 4 Th 3.00, 2 Au 3.09
Au (0.5000, 0.5547, 0.5547)  4 Sm 3.04, 2 Pt 3.09, 3 Th 3.19-3.21

Values from the calculation:
Excess energy over the best structure of this formula in the dataset (eV per atom): 0.000
Energy relative to the elements (kJ/mol of formula units): -389
Symmetry: Amm2 (38)
Crystal system: orthorhombic

=====

No. 4
# SmThPtAu

A relaxed SmThPtAu crystal (PBE, Alexandria).

a = 5.1586 Å, b = 5.1586 Å, c = 5.1586 Å
α = 60.00°, β = 60.00°, γ = 60.00°
Last column: nearest neighbours and their distance in Å.
Fractional coordinates of all 4 atoms:
Sm (0.0000, 0.0000, 0.0000)  4 Pt 3.16, 4 Au 3.16
Th (0.5000, 0.5000, 0.5000)  4 Pt 3.16, 4 Au 3.16
Pt (0.7500, 0.7500, 0.7500)  4 Th 3.16, 4 Sm 3.16
Au (0.2500, 0.2500, 0.2500)  4 Th 3.16, 4 Sm 3.16

Values from the calculation:
Excess energy over the best structure of this formula in the dataset (eV per atom): 0.155
Energy relative to the elements (kJ/mol of formula units): -330
Symmetry: F-43m (216)
Crystal system: cubic

=====

No. 5
# SmTlPtAu

A relaxed SmTlPtAu crystal (PBE, Alexandria).

a = 4.9910 Å, b = 4.9910 Å, c = 4.9910 Å
α = 60.00°, β = 60.00°, γ = 60.00°
Last column: nearest neighbours and their distance in Å.
Fractional coordinates of all 4 atoms:
Sm (0.0000, 0.0000, 0.0000)  4 Pt 3.06, 4 Au 3.06
Tl (0.5000, 0.5000, 0.5000)  4 Au 3.06, 4 Pt 3.06
Pt (0.2500, 0.2500, 0.2500)  4 Tl 3.06, 4 Sm 3.06
Au (0.7500, 0.7500, 0.7500)  4 Sm 3.06, 4 Tl 3.06

Values from the calculation:
Energy relative to the elements (kJ/mol of formula units): -230
Symmetry: F-43m (216)
Crystal system: cubic

=====

No. 6
# SmTmPtAu

A relaxed SmTmPtAu crystal (PBE, Alexandria).

a = 5.0376 Å, b = 5.0376 Å, c = 5.0376 Å
α = 60.00°, β = 60.00°, γ = 60.00°
Last column: nearest neighbours and their distance in Å.
Fractional coordinates of all 4 atoms:
Sm (0.0000, 0.0000, 0.0000)  4 Pt 3.08, 4 Au 3.08
Tm (0.5000, 0.5000, 0.5000)  4 Au 3.08, 4 Pt 3.08
Pt (0.2500, 0.2500, 0.2500)  4 Tm 3.08, 4 Sm 3.08
Au (0.7500, 0.7500, 0.7500)  4 Tm 3.08, 4 Sm 3.08

Values from the calculation:
Excess energy over the best structure of this formula in the dataset (eV per atom): 0.050
Energy relative to the elements (kJ/mol of formula units): -388
Symmetry: F-43m (216)
Crystal system: cubic

=====

No. 7
# SmTmPtAu

A relaxed SmTmPtAu crystal (PBE, Alexandria).

a = 4.6219 Å, b = 5.6852 Å, c = 5.6852 Å
α = 38.89°, β = 90.00°, γ = 90.00°
Last column: nearest neighbours and their distance in Å.
Fractional coordinates of all 4 atoms:
Sm (0.0000, 0.0000, 0.0000)  3 Pt 2.90-3.10, 4 Au 3.04
Tm (0.5000, 0.2762, 0.2762)  3 Au 2.98-3.04, 4 Pt 3.03
Pt (0.0000, 0.7294, 0.7294)  3 Sm 2.90-3.10, 2 Au 2.98, 4 Tm 3.03
Au (0.5000, 0.5539, 0.5539)  3 Tm 2.98-3.04, 2 Pt 2.98, 4 Sm 3.04

Values from the calculation:
Excess energy over the best structure of this formula in the dataset (eV per atom): 0.000
Energy relative to the elements (kJ/mol of formula units): -408
Symmetry: Amm2 (38)
Crystal system: orthorhombic

=====

No. 8
# SmYPtAu

A relaxed SmYPtAu crystal (PBE, Alexandria).

a = 5.0736 Å, b = 5.0736 Å, c = 5.0736 Å
α = 60.00°, β = 60.00°, γ = 60.00°
Last column: nearest neighbours and their distance in Å.
Fractional coordinates of all 4 atoms:
Sm (0.0000, 0.0000, 0.0000)  4 Pt 3.11, 4 Au 3.11
Y (0.5000, 0.5000, 0.5000)  4 Au 3.11, 4 Pt 3.11
Pt (0.2500, 0.2500, 0.2500)  4 Y 3.11, 4 Sm 3.11
Au (0.7500, 0.7500, 0.7500)  4 Y 3.11, 4 Sm 3.11

Values from the calculation:
Excess energy over the best structure of this formula in the dataset (eV per atom): 0.056
Energy relative to the elements (kJ/mol of formula units): -380
Symmetry: F-43m (216)
Crystal system: cubic

=====

No. 9
# SmYPtAu

A relaxed SmYPtAu crystal (PBE, Alexandria).

a = 4.6473 Å, b = 5.7184 Å, c = 5.7184 Å
α = 39.13°, β = 90.00°, γ = 90.00°
Last column: nearest neighbours and their distance in Å.
Fractional coordinates of all 4 atoms:
Sm (0.0000, 0.0000, 0.0000)  3 Pt 2.94-3.11, 4 Au 3.07
Y (0.5000, 0.7241, 0.7241)  3 Au 2.99-3.07, 4 Pt 3.06
Pt (0.0000, 0.2728, 0.2728)  3 Sm 2.94-3.11, 2 Au 2.99, 4 Y 3.06
Au (0.5000, 0.4467, 0.4467)  2 Pt 2.99, 3 Y 2.99-3.07, 4 Sm 3.07

Values from the calculation:
Excess energy over the best structure of this formula in the dataset (eV per atom): 0.000
Energy relative to the elements (kJ/mol of formula units): -402
Symmetry: Amm2 (38)
Crystal system: orthorhombic

=====

No. 10
# Sm2Zn3Pt4Au

A relaxed Sm2Zn3Pt4Au crystal (PBE, Alexandria).

a = 4.0743 Å, b = 4.0743 Å, c = 11.5965 Å
α = 90.00°, β = 90.00°, γ = 90.00°
Last column: nearest neighbours and their distance in Å.
Fractional coordinates of all 10 atoms:
Sm (0.0000, 0.5000, 0.2446)  4 Pt 3.10, 4 Zn 3.17
Sm (0.5000, 0.0000, 0.7554)  4 Pt 3.10, 4 Zn 3.17
Zn (0.0000, 0.5000, 0.8696)  5 Pt 2.46-2.54
Zn (0.5000, 0.0000, 0.1304)  5 Pt 2.46-2.54
Zn (0.5000, 0.5000, 0.5000)  4 Pt 2.73, 4 Au 2.88
Pt (0.0000, 0.0000, 0.0000)  4 Zn 2.54
Pt (0.0000, 0.5000, 0.6571)  3 Zn 2.46-2.73, 2 Au 2.73
Pt (0.5000, 0.0000, 0.3429)  3 Zn 2.46-2.73, 2 Au 2.73
Pt (0.5000, 0.5000, 0.0000)  4 Zn 2.54
Au (0.0000, 0.0000, 0.5000)  4 Pt 2.73, 4 Zn 2.88

Values from the calculation:
Energy relative to the elements (kJ/mol of formula units): -715
Symmetry: P-4m2 (115)
Crystal system: tetragonal

=====

No. 11
# SmZnPtAu

A relaxed SmZnPtAu crystal (PBE, Alexandria).

a = 4.5014 Å, b = 4.5014 Å, c = 5.3614 Å
α = 114.84°, β = 114.84°, γ = 60.19°
Last column: nearest neighbours and their distance in Å.
Fractional coordinates of all 4 atoms:
Sm (0.0000, 0.0000, 0.0000)  4 Pt 3.04-3.08, 4 Au 3.05-3.07, 3 Zn 3.31-3.32
Zn (0.5204, 0.5204, 0.5615)  3 Pt 2.63, 3 Au 2.78-2.79
Pt (0.2158, 0.2158, 0.6483)  3 Zn 2.63
Au (0.7825, 0.7825, 0.3489)  3 Zn 2.78-2.79, 3 Pt 2.95-2.96, 4 Sm 3.05-3.07

Values from the calculation:
Excess energy over the best structure of this formula in the dataset (eV per atom): 0.000
Energy relative to the elements (kJ/mol of formula units): -296
Symmetry: Cm (8)
Crystal system: monoclinic

=====

Total energy
In order: -5.625, -5.694, -6.373, -6.218, -4.697, -5.634, -5.683, -6.110, -6.166, -4.811, -4.595
Unit: eV per atom